[1]
This record from the Alexandria database describes a relaxed Ca2CdP2 crystal. The functional is GGA-PBEsol.

a = 4.1569 Å, b = 15.8343 Å, c = 6.9673 Å
α = 90.00°, β = 90.00°, γ = 90.00°
Last column: nearest neighbours and their distance in Å.
Space group Cmc2_1 (No. 36)
Asymmetric unit:
Ca: 0.0000 0.0351 0.0000 (multiplicity 4)  5 P 2.83-2.98
Ca: 0.0000 0.2008 0.3441 (multiplicity 4)  5 P 2.85-3.04
Cd: 0.0000 0.4012 0.1614 (multiplicity 4)  4 P 2.55-2.71
P: 0.0000 0.1807 0.7645 (multiplicity 4)  2 Cd 2.55, 3 Ca 2.83-2.85
P: 0.0000 0.4371 0.7902 (multiplicity 4)  2 Cd 2.65-2.71, 2 Ca 2.93

Values from the calculation:
E above lowest polymorph in meV/atom: 0
E_form in eV/atom: -0.9276

***

[2]
This record from the Alexandria database describes a relaxed AlAgBi2F crystal. The functional is GGA-PBEsol.

a = 5.6106 Å, b = 5.6106 Å, c = 3.5121 Å
α = 90.00°, β = 90.00°, γ = 90.00°
Last column: nearest neighbours and their distance in Å.
Space group P4/mmm (No. 123)
Asymmetric unit:
Al: 0.0000 0.0000 0.0000 (multiplicity 1)  2 F 1.76
Ag: 0.5000 0.5000 0.5000 (multiplicity 1)  8 Bi 3.31, 2 Ag 3.51
Bi: 0.0000 0.5000 0.0000 (multiplicity 2)  2 Al 2.81
F: 0.0000 0.0000 0.5000 (multiplicity 1)  2 Al 1.76

Values from the calculation:
Formation energy from raw total energies in meV per atom: -589

***

[3]
This record from the Alexandria database describes a relaxed Te2Pd3 crystal. The functional is GGA-PBEsol.

a = 3.8755 Å, b = 12.4973 Å, c = 7.9006 Å
α = 90.00°, β = 90.00°, γ = 90.00°
Last column: nearest neighbours and their distance in Å.
Space group Cmcm (No. 63)
Asymmetric unit:
Te: 0.0000 0.0000 0.0000 (multiplicity 4)  8 Pd 2.80-2.87
Te: 0.0000 0.2580 0.2500 (multiplicity 4)  7 Pd 2.63-2.69
Pd: 0.0000 0.3357 0.5658 (multiplicity 8)  5 Te 2.68-2.87, 3 Pd 2.85-2.99
Pd: 0.0000 0.4681 0.2500 (multiplicity 4)  5 Te 2.63-2.80, 2 Pd 2.85

Values from the calculation:
Formation energy from raw total energies in meV per atom: -355

***

[4]
This record from the Alexandria database describes a relaxed LaP12Ru4 crystal. The functional is GGA-PBEsol.

a = 8.0230 Å, b = 8.0230 Å, c = 8.0230 Å
α = 90.00°, β = 90.00°, γ = 90.00°
Last column: nearest neighbours and their distance in Å.
Space group Im-3 (No. 204)
Asymmetric unit:
La: 0.0000 0.0000 0.0000 (multiplicity 2)  12 P 3.10
P: 0.0000 0.1450 0.3577 (multiplicity 24)  2 P 2.28-2.33, 2 Ru 2.34
Ru: 0.2500 0.2500 0.2500 (multiplicity 8)  6 P 2.34

Values from the calculation:
E_form in eV/atom: -0.7536

***

[5]
This record from the Alexandria database describes a relaxed TaSbMo2 crystal. The functional is GGA-PBEsol.

a = 3.4642 Å, b = 4.2730 Å, c = 4.5829 Å
α = 90.00°, β = 90.00°, γ = 90.00°
Last column: nearest neighbours and their distance in Å.
Space group Pmmm (No. 47)
Asymmetric unit:
Ta: 0.0000 0.0000 0.0000 (multiplicity 1)  4 Mo 2.75, 4 Sb 2.87
Sb: 0.5000 0.0000 0.5000 (multiplicity 1)  4 Mo 2.75, 4 Ta 2.87
Mo: 0.0000 0.5000 0.5000 (multiplicity 1)  4 Sb 2.75, 4 Mo 2.87
Mo: 0.5000 0.5000 0.0000 (multiplicity 1)  4 Ta 2.75, 4 Mo 2.87

Values from the calculation:
Formation energy from raw total energies in meV per atom: 225

***

[6]
This record from the Alexandria database describes a relaxed Ce4SnO10 crystal. The functional is GGA-PBEsol.

a = 3.7796 Å, b = 3.7796 Å, c = 46.2598 Å
α = 90.00°, β = 90.00°, γ = 120.00°
Last column: nearest neighbours and their distance in Å.
Space group R-3m (No. 166, hexagonal axes)
Asymmetric unit:
Ce: 0.0000 0.0000 0.1022 (multiplicity 6)  8 O 2.32-2.36
Ce: 0.0000 0.0000 0.2993 (multiplicity 6)  8 O 2.32-2.37
Sn: 0.0000 0.0000 0.5000 (multiplicity 3)  8 O 2.15-2.27
O: 0.0000 0.0000 0.0511 (multiplicity 6)  4 Ce 2.32-2.36
O: 0.0000 0.0000 0.1528 (multiplicity 6)  3 Sn 2.27, 1 Ce 2.34, 3 O 2.53
O: 0.0000 0.0000 0.2481 (multiplicity 6)  4 Ce 2.32-2.37
O: 0.0000 0.0000 0.3503 (multiplicity 6)  4 Ce 2.32-2.36
O: 0.0000 0.0000 0.4535 (multiplicity 6)  1 Sn 2.15, 3 Ce 2.34

Values from the calculation:
E above lowest polymorph in meV/atom: 0
Formation energy from raw total energies in meV per atom: -3048